<A>
This record from Alexandria describes an optimized crystal structure of VGe3H. The functional is PBE.

space-group type: Pm-3m (221)

a b c (Å): 4.1603 4.1603 4.1603
angles (deg): 90.00 90.00 90.00
Each line ends with the local moment (μB).
Positions (direct):
Ge 0.0000 0.0000 0.5000  -0.02
Ge 0.5000 0.0000 0.0000  -0.02
Ge 0.0000 0.5000 0.0000  -0.02
V 0.5000 0.5000 0.5000  2.14
H 0.0000 0.0000 0.0000  -0.01


<B>
This record from Alexandria describes an optimized crystal structure of VGe3H. The functional is PBE.

space-group type: Pm-3m (221)

a b c (Å): 4.7301 4.7301 4.7301
angles (deg): 90.00 90.00 90.00
Each line ends with the local moment (μB).
Positions (direct):
Ge 0.0000 0.0000 0.5000  0.00
Ge 0.5000 0.0000 0.0000  0.00
Ge 0.0000 0.5000 0.0000  0.00
H 0.5000 0.5000 0.5000  0.31
V 0.0000 0.0000 0.0000  0.36


Most stable = <A>


<A>
This record from Alexandria describes an optimized crystal structure of V4GeH2. The functional is PBE.

space-group type: Cmcm (63)

a b c (Å): 3.1592 5.0711 9.6276
angles (deg): 90.00 90.00 108.15
Positions (direct):
H 0.0983 0.1966 0.4426
H 0.9017 0.8034 0.9426
H 0.9017 0.8034 0.5574
H 0.0983 0.1966 0.0574
V 0.2073 0.4146 0.5937
V 0.7927 0.5854 0.0937
V 0.7927 0.5854 0.4063
V 0.5000 0.0000 0.5000
V 0.1241 0.2482 0.2500
V 0.5000 0.0000 0.0000
V 0.2073 0.4146 0.9063
V 0.8759 0.7518 0.7500
Ge 0.5865 0.1729 0.7500
Ge 0.4135 0.8271 0.2500


<B>
This record from Alexandria describes an optimized crystal structure of V4GeH2. The functional is PBE.

space-group type: I4/mmm (139)

a b c (Å): 4.4142 4.4142 5.5451
angles (deg): 66.54 66.54 90.00
Positions (direct):
V 0.0000 0.5000 0.0000
V 0.7391 0.7391 0.5217
V 0.5000 0.0000 0.0000
V 0.2609 0.2609 0.4783
H 0.4404 0.4404 0.1192
H 0.5596 0.5596 0.8808
Ge 0.0000 0.0000 0.0000


Most stable = <A>


<A>
This record from Alexandria describes an optimized crystal structure of GeH3W. The functional is PBE.

space-group type: Pm-3m (221)

a b c (Å): 3.5937 3.5937 3.5937
angles (deg): 90.00 90.00 90.00
Positions (direct):
H 0.0000 0.0000 0.5000
H 0.0000 0.5000 0.0000
H 0.5000 0.0000 0.0000
W 0.0000 0.0000 0.0000
Ge 0.5000 0.5000 0.5000


<B>
This record from Alexandria describes an optimized crystal structure of GeH3W. The functional is PBE.

space-group type: Pm-3m (221)

a b c (Å): 3.4890 3.4890 3.4890
angles (deg): 90.00 90.00 90.00
Positions (direct):
H 0.5000 0.0000 0.0000
H 0.0000 0.0000 0.5000
H 0.0000 0.5000 0.0000
Ge 0.0000 0.0000 0.0000
W 0.5000 0.5000 0.5000


Most stable = <A>


<A>
This record from Alexandria describes an optimized crystal structure of GeH2W. The functional is PBE.

space-group type: Fm-3m (225)

a b c (Å): 3.8011 3.8011 3.8011
angles (deg): 60.00 60.00 60.00
Positions (direct):
H 0.2500 0.2500 0.2500
H 0.7500 0.7500 0.7500
Ge 0.0000 0.0000 0.0000
W 0.5000 0.5000 0.5000


<B>
This record from Alexandria describes an optimized crystal structure of GeH2W. The functional is PBE.

space-group type: I-42d (122)

a b c (Å): 5.6355 5.6355 4.7333
angles (deg): 53.47 53.47 90.00
Positions (direct):
Ge 0.5000 0.5000 0.0000
Ge 0.2500 0.7500 0.5000
H 0.3750 0.3006 0.7500
H 0.6994 0.1250 0.2500
H 0.8750 0.9494 0.7500
H 0.0506 0.6250 0.2500
W 0.7500 0.2500 0.5000
W 0.0000 0.0000 0.0000


Most stable = <B>


<A>
This record from Alexandria describes an optimized crystal structure of YGeH. The functional is PBE.

space-group type: Pnma (62)

a b c (Å): 3.9634 6.0741 7.7742
angles (deg): 90.00 90.00 90.00
Positions (direct):
Y 0.7500 0.6172 0.6746
Y 0.2500 0.1172 0.8254
Y 0.7500 0.8828 0.1746
Y 0.2500 0.3828 0.3254
Ge 0.2500 0.6233 0.9689
Ge 0.7500 0.1233 0.5311
Ge 0.7500 0.3767 0.0311
Ge 0.2500 0.8767 0.4689
H 0.2500 0.0711 0.1195
H 0.7500 0.9289 0.8805
H 0.7500 0.5711 0.3805
H 0.2500 0.4289 0.6195


<B>
This record from Alexandria describes an optimized crystal structure of YGeH. The functional is PBE.

space-group type: Pnma (62)

a b c (Å): 9.0970 3.6033 6.3078
angles (deg): 90.00 90.00 90.00
Positions (direct):
Ge 0.2324 0.7500 0.9122
Ge 0.7324 0.7500 0.5878
Ge 0.7676 0.2500 0.0878
Ge 0.2676 0.2500 0.4122
H 0.5715 0.7500 0.9035
H 0.9285 0.2500 0.4035
H 0.4285 0.2500 0.0965
H 0.0715 0.7500 0.5965
Y 0.9872 0.2500 0.7347
Y 0.4872 0.2500 0.7653
Y 0.5128 0.7500 0.2347
Y 0.0128 0.7500 0.2653


<C>
This record from Alexandria describes an optimized crystal structure of YGeH. The functional is PBE.

space-group type: Cmcm (63)

a b c (Å): 6.0871 6.0871 4.0219
angles (deg): 90.00 90.00 140.98
Positions (direct):
H 0.7541 0.2459 0.7500
H 0.2459 0.7541 0.2500
Y 0.3502 0.6498 0.7500
Y 0.6498 0.3502 0.2500
Ge 0.9342 0.0658 0.2500
Ge 0.0658 0.9342 0.7500


<D>
This record from Alexandria describes an optimized crystal structure of YGeH. The functional is PBE.

space-group type: P3m1 (156)

a b c (Å): 4.6991 3.5856 3.5856
angles (deg): 120.00 90.00 90.00
Positions (direct):
Y 0.1663 0.0000 0.0000
H 0.1674 0.3333 0.6667
Ge 0.6664 0.6667 0.3333


Most stable = <C>


<A>
This record from Alexandria describes an optimized crystal structure of YGeH. The functional is PBE.

space-group type: Pnma (62)

a b c (Å): 5.9562 6.0391 5.9995
angles (deg): 90.00 90.00 90.00
Positions (direct):
Ge 0.2517 0.7500 0.9750
Ge 0.7483 0.2500 0.0250
Ge 0.2483 0.2500 0.4750
Ge 0.7517 0.7500 0.5250
H 0.5622 0.7500 0.3202
H 0.9378 0.2500 0.8202
H 0.0622 0.7500 0.1798
H 0.4378 0.2500 0.6798
Y 0.7409 0.7500 0.0046
Y 0.2591 0.2500 0.9954
Y 0.7591 0.2500 0.5046
Y 0.2409 0.7500 0.4954


<B>
This record from Alexandria describes an optimized crystal structure of YGeH. The functional is PBE.

space-group type: Pnma (62)

a b c (Å): 6.9019 7.5568 4.2523
angles (deg): 90.00 90.00 90.00
Positions (direct):
Ge 0.3344 0.2500 0.0397
Ge 0.1656 0.7500 0.5397
Ge 0.6656 0.7500 0.9603
Ge 0.8344 0.2500 0.4603
H 0.4832 0.7500 0.2298
H 0.9832 0.7500 0.2702
H 0.5168 0.2500 0.7702
H 0.0168 0.2500 0.7298
Y 0.5000 0.0000 0.5000
Y 0.0000 0.5000 0.0000
Y 0.5000 0.5000 0.5000
Y 0.0000 0.0000 0.0000


Most stable = <A>